(1)
DFT (PBE) results for PIrBr2 after structural relaxation.

Values from the calculation:
V ... 91.6 Å³/cell
Crystal system ... monoclinic
Offset from the most stable computed form ... 1.64 eV/f.u.
Formation energy from raw total energies ... -2 kJ/mol of atoms

Lattice parameters (Å, degrees): 5.1495 3.5280 5.4324 90.00 111.89 90.00
Space group Pm (No. 6)
One atom of each set of equivalent atoms:
P: 0.0000 0.0000 0.0000 (multiplicity 1)
Ir: 0.8666 0.5000 0.7254 (multiplicity 1)
Br: 0.3381 0.5000 0.6304 (multiplicity 1)
Br: 0.6921 0.0000 0.2921 (multiplicity 1)

(2)
DFT (PBE) results for Dy6MgZn after structural relaxation.

Values from the calculation:
V ... 228.2 Å³/cell
Crystal system ... triclinic
Energy of formation from the pure elements ... 0.2 eV per formula unit

Lattice parameters (Å, degrees): 6.1216 6.1216 6.1241 93.43 93.39 93.49
Space group P-1 (No. 2)
One atom of each set of equivalent atoms:
Dy: 0.0253 0.0537 0.2566 (multiplicity 2)
Dy: 0.2435 0.4742 0.9460 (multiplicity 2)
Dy: 0.4462 0.7433 0.4741 (multiplicity 2)
Mg: 0.5000 0.0000 0.0000 (multiplicity 1)
Zn: 0.0000 0.5000 0.5000 (multiplicity 1)

(3)
DFT (PBE) results for NaDyPa2O8 after structural relaxation.

Values from the calculation:
V ... 164.3 Å³/cell
Crystal system ... trigonal
Formation energy from raw total energies ... -235 kJ/mol of atoms

Lattice parameters (Å, degrees): 5.9148 5.9148 5.4218 90.00 90.00 120.00
Space group P-3 (No. 147)
One atom of each set of equivalent atoms:
Na: 0.0000 0.0000 0.0000 (multiplicity 1)
Dy: 0.0000 0.0000 0.5000 (multiplicity 1)
Pa: 0.3333 0.6667 0.9261 (multiplicity 2)
O: 0.0508 0.3421 0.1905 (multiplicity 6)
O: 0.3333 0.6667 0.5656 (multiplicity 2)

(4)
DFT (PBE) results for KSr2Re2 after structural relaxation.

Values from the calculation:
V ... 349.7 Å³/cell
Crystal system ... tetragonal
Energy of formation from the pure elements ... 6.2 eV per formula unit
Offset from the most stable computed form ... 1.20 eV/f.u.

Lattice parameters (Å, degrees): 6.0728 6.0728 9.4818 90.00 90.00 90.00
Space group I4/mmm (No. 139)
One atom of each set of equivalent atoms:
K: 0.0000 0.0000 0.0000 (multiplicity 2)
Sr: 0.0000 0.5000 0.2500 (multiplicity 4)
Re: 0.0000 0.0000 0.3838 (multiplicity 4)

(5)
DFT (PBE) results for TaAl2Ag after structural relaxation.

Values from the calculation:
V ... 133.8 Å³/cell
Crystal system ... tetragonal
Energy of formation from the pure elements ... 0.0 eV per formula unit
Offset from the most stable computed form ... 0.57 eV/f.u.

Lattice parameters (Å, degrees): 3.8427 3.8427 9.0610 90.00 90.00 90.00
Space group I-4m2 (No. 119)
One atom of each set of equivalent atoms:
Ta: 0.0000 0.0000 0.0000 (multiplicity 2)
Al: 0.0000 0.0000 0.5000 (multiplicity 2)
Al: 0.0000 0.5000 0.2500 (multiplicity 2)
Ag: 0.0000 0.5000 0.7500 (multiplicity 2)

(6)
DFT (PBE) results for TlFeS after structural relaxation.

Values from the calculation:
V ... 130.8 Å³/cell
Crystal system ... tetragonal
Formation energy from raw total energies ... -28 kJ/mol of atoms

Lattice parameters (Å, degrees): 3.6002 3.6002 10.0892 90.00 90.00 90.00
Space group P4/nmm (No. 129, origin choice 2)
One atom of each set of equivalent atoms:
Tl: 0.2500 0.2500 0.1161 (multiplicity 2)
Fe: 0.2500 0.7500 0.5000 (multiplicity 2)
S: 0.2500 0.2500 0.6197 (multiplicity 2)

(7)
DFT (PBE) results for K2ScPd2 after structural relaxation.

Values from the calculation:
V ... 274.7 Å³/cell
Crystal system ... tetragonal
Energy of formation from the pure elements ... -0.1 eV per formula unit

Lattice parameters (Å, degrees): 6.9185 6.9185 5.7401 90.00 90.00 90.00
Space group P4/mbm (No. 127)
One atom of each set of equivalent atoms:
K: 0.1689 0.3311 0.0000 (multiplicity 4)
Sc: 0.0000 0.0000 0.5000 (multiplicity 2)
Pd: 0.1366 0.6366 0.5000 (multiplicity 4)

(8)
DFT (PBE) results for Y6CoI10 after structural relaxation.

Values from the calculation:
V ... 657.3 Å³/cell
Crystal system ... triclinic
Formation energy from raw total energies ... -115 kJ/mol of atoms

Lattice parameters (Å, degrees): 7.7200 9.6299 9.7343 106.98 96.64 104.16
Space group P-1 (No. 2)
One atom of each set of equivalent atoms:
Y: 0.0349 0.2313 0.4221 (multiplicity 2)
Y: 0.1146 0.5431 0.2626 (multiplicity 2)
Y: 0.3421 0.6205 0.6621 (multiplicity 2)
Co: 0.0000 0.5000 0.5000 (multiplicity 1)
I: 0.0867 0.8726 0.3212 (multiplicity 2)
I: 0.2279 0.2459 0.1583 (multiplicity 2)
I: 0.2555 0.5859 0.9604 (multiplicity 2)
I: 0.3401 0.9468 0.7721 (multiplicity 2)
I: 0.4538 0.3121 0.5922 (multiplicity 2)

(9)
DFT (PBE) results for Zr2TePbO8 after structural relaxation.

Values from the calculation:
V ... 168.3 Å³/cell
Crystal system ... monoclinic
Formation energy from raw total energies ... -201 kJ/mol of atoms

Lattice parameters (Å, degrees): 4.9553 6.8545 4.9589 90.00 92.11 90.00
Space group P2/m (No. 10)
One atom of each set of equivalent atoms:
Zr: 0.0000 0.2462 0.0000 (multiplicity 2)
Te: 0.5000 0.5000 0.5000 (multiplicity 1)
Pb: 0.5000 0.0000 0.5000 (multiplicity 1)
O: 0.1708 0.0000 0.8307 (multiplicity 2)
O: 0.2190 0.5000 0.7818 (multiplicity 2)
O: 0.2998 0.2986 0.3006 (multiplicity 4)

(10)
DFT (PBE) results for AlSb2Pt after structural relaxation.

Values from the calculation:
V ... 182.2 Å³/cell
Crystal system ... monoclinic
Formation energy from raw total energies ... -5 kJ/mol of atoms

Lattice parameters (Å, degrees): 5.8269 7.8910 4.9110 90.00 126.22 90.00
Space group C2/m (No. 12)
One atom of each set of equivalent atoms:
Al: 0.0000 0.0000 0.0000 (multiplicity 2)
Sb: 0.2500 0.2500 0.5000 (multiplicity 4)
Pt: 0.0000 0.5000 0.0000 (multiplicity 2)

(11)
DFT (PBE) results for RbCa2P2 after structural relaxation.

Values from the calculation:
V ... 299.3 Å³/cell
Crystal system ... tetragonal
Energy of formation from the pure elements ... -3.1 eV per formula unit
Offset from the most stable computed form ... 0.45 eV/f.u.

Lattice parameters (Å, degrees): 5.0313 5.0313 11.8248 90.00 90.00 90.00
Space group I4/mmm (No. 139)
One atom of each set of equivalent atoms:
Rb: 0.0000 0.0000 0.0000 (multiplicity 2)
Ca: 0.0000 0.5000 0.2500 (multiplicity 4)
P: 0.0000 0.0000 0.3720 (multiplicity 4)

(12)
DFT (PBE) results for La3PtF after structural relaxation.

Values from the calculation:
V ... 124.5 Å³/cell
Crystal system ... cubic
Offset from the most stable computed form ... 0.00 eV/f.u.
Formation energy from raw total energies ... -111 kJ/mol of atoms

Lattice parameters (Å, degrees): 4.9930 4.9930 4.9930 90.00 90.00 90.00
Space group Pm-3m (No. 221)
One atom of each set of equivalent atoms:
La: 0.0000 0.0000 0.5000 (multiplicity 3)
Pt: 0.5000 0.5000 0.5000 (multiplicity 1)
F: 0.0000 0.0000 0.0000 (multiplicity 1)

no.,mass density (g cm⁻³)
1,6.94
2,7.75
3,7.84
4,5.57
5,8.51
6,7.42
7,4.06
8,4.70
9,6.37
10,8.49
11,2.52
12,8.42